Entry 1:
MnRhWO2 | PBE+U | optimized geometry

a = 3.8170 Å, b = 3.8170 Å, c = 6.0369 Å
α = 90.00°, β = 90.00°, γ = 90.00°
Fractional positions:
Mn: 0.0000 0.0000 0.0000
Rh: 0.5000 0.5000 0.0000
W: 0.0000 0.0000 0.5000
O: 0.0000 0.5000 0.5000
O: 0.5000 0.0000 0.5000

## Properties
* magnetic moment: 6.00 μB per cell
* total energy: -0.491 Ry/atom
* SG: No. 123

Entry 2:
MnZnRhO4 | PBE+U | optimized geometry

a = 5.9954 Å, b = 5.9954 Å, c = 5.9954 Å
α = 120.47°, β = 118.66°, γ = 90.76°
Fractional positions:
Mn: 0.5000 0.0000 0.0000
Mn: 0.5000 0.5000 0.5000
Zn: 0.1197 0.3697 0.7500
Zn: 0.8803 0.6303 0.2500
Rh: 0.0000 0.0000 0.0000
Rh: 0.5000 0.0000 0.5000
O: 0.2644 0.2462 0.4818
O: 0.2644 0.7826 0.0182
O: 0.2756 0.2462 0.0294
O: 0.2833 0.7538 0.5294
O: 0.7167 0.2462 0.4706
O: 0.7244 0.7538 0.9706
O: 0.7356 0.2174 0.9818
O: 0.7356 0.7538 0.5182

## Properties
* magnetic moment: 4.03 μB per cell
* total energy: -0.458 Ry/atom
* SG: No. 74

Entry 3:
MnRuO3 | PBE+U | optimized geometry

a = 7.0880 Å, b = 7.0880 Å, c = 5.2223 Å
α = 90.00°, β = 90.00°, γ = 154.47°
Fractional positions:
Mn: 0.0366 0.9634 0.5000
Mn: 0.9634 0.0366 0.0000
Ru: 0.3196 0.6804 0.4921
Ru: 0.6804 0.3196 0.9921
O: 0.1126 0.8874 0.1626
O: 0.2326 0.7674 0.7901
O: 0.4397 0.5603 0.2625
O: 0.5603 0.4397 0.7625
O: 0.7674 0.2326 0.2901
O: 0.8874 0.1126 0.6626

## Properties
* magnetic moment: 9.55 μB per cell
* total energy: -0.552 Ry/atom
* SG: No. 36

Entry 4:
Mn2RuO4 | PBE+U | optimized geometry

a = 6.1513 Å, b = 6.1513 Å, c = 6.1513 Å
α = 142.62°, β = 142.62°, γ = 53.89°
Fractional positions:
Mn: 0.1427 0.1427 0.0000
Mn: 0.8573 0.8573 0.0000
Ru: 0.5000 0.5000 0.0000
O: 0.0000 0.5000 0.5000
O: 0.3207 0.3207 0.0000
O: 0.5000 0.0000 0.5000
O: 0.6793 0.6793 0.0000

## Properties
* magnetic moment: 7.94 μB per cell
* total energy: -0.536 Ry/atom
* SG: No. 139

Entry 5:
MnRuO4 | PBE+U | optimized geometry

a = 5.5061 Å, b = 5.5061 Å, c = 5.5061 Å
α = 107.85°, β = 107.85°, γ = 112.76°
Fractional positions:
Mn: 0.0000 0.0000 0.0000
Mn: 0.7500 0.2500 0.5000
Ru: 0.2438 0.7438 0.5000
Ru: 0.4938 0.4938 0.0000
O: 0.0492 0.2441 0.8051
O: 0.4390 0.2441 0.1949
O: 0.4897 0.1904 0.7007
O: 0.4897 0.7889 0.2993
O: 0.5389 0.7397 0.7993
O: 0.9404 0.7397 0.2007
O: 0.9941 0.2992 0.3051
O: 0.9941 0.6890 0.6949

## Properties
* magnetic moment: 5.80 μB per cell
* total energy: -0.534 Ry/atom
* SG: No. 109

Entry 6:
Mn3RuO6 | PBE+U | optimized geometry

a = 6.1296 Å, b = 6.1296 Å, c = 6.1296 Å
α = 91.97°, β = 91.97°, γ = 91.97°
Fractional positions:
Mn: 0.0645 0.7566 0.5630
Mn: 0.2434 0.4370 0.9355
Mn: 0.4370 0.9355 0.2434
Mn: 0.5630 0.0645 0.7566
Mn: 0.7566 0.5630 0.0645
Mn: 0.9355 0.2434 0.4370
Ru: 0.0000 0.0000 0.0000
Ru: 0.5000 0.5000 0.5000
O: 0.0442 0.6936 0.8901
O: 0.1099 0.9558 0.3064
O: 0.1995 0.4112 0.5854
O: 0.3064 0.1099 0.9558
O: 0.4112 0.5854 0.1995
O: 0.4146 0.8005 0.5888
O: 0.5854 0.1995 0.4112
O: 0.5888 0.4146 0.8005
O: 0.6936 0.8901 0.0442
O: 0.8005 0.5888 0.4146
O: 0.8901 0.0442 0.6936
O: 0.9558 0.3064 0.1099

## Properties
* magnetic moment: 25.85 μB per cell
* total energy: -0.552 Ry/atom
* SG: No. 148

Entry 7:
MnRuO4 | PBE+U | optimized geometry

a = 5.5706 Å, b = 4.5723 Å, c = 5.5256 Å
α = 90.00°, β = 113.64°, γ = 90.00°
Fractional positions:
Mn: 0.0000 0.0000 0.0000
Mn: 0.0000 0.5000 0.5000
Ru: 0.5000 0.0000 0.5000
Ru: 0.5000 0.5000 0.0000
O: 0.1582 0.1977 0.3417
O: 0.1582 0.3023 0.8417
O: 0.3505 0.7144 0.6590
O: 0.3505 0.7856 0.1590
O: 0.6495 0.2144 0.8410
O: 0.6495 0.2856 0.3410
O: 0.8418 0.6977 0.1583
O: 0.8418 0.8023 0.6583

## Properties
* magnetic moment: 5.51 μB per cell
* total energy: -0.533 Ry/atom
* SG: No. 14

Entry 8:
MnRuO3 | PBE+U | optimized geometry

a = 3.8562 Å, b = 3.8562 Å, c = 3.8562 Å
α = 90.00°, β = 90.00°, γ = 90.00°
Fractional positions:
Mn: 0.0000 0.0000 0.0000
Ru: 0.5000 0.5000 0.5000
O: 0.0000 0.5000 0.5000
O: 0.5000 0.0000 0.5000
O: 0.5000 0.5000 0.0000

## Properties
* magnetic moment: 5.10 μB per cell
* total energy: -0.519 Ry/atom
* SG: No. 221

Entry 9:
Mn3RuO | PBE+U | optimized geometry

a = 4.2129 Å, b = 4.2129 Å, c = 4.2129 Å
α = 90.00°, β = 90.00°, γ = 90.00°
Fractional positions:
Mn: 0.0000 0.0000 0.5000
Mn: 0.0000 0.5000 0.0000
Mn: 0.5000 0.0000 0.0000
Ru: 0.5000 0.5000 0.5000
O: 0.0000 0.0000 0.0000

## Properties
* magnetic moment: 14.36 μB per cell
* total energy: -0.543 Ry/atom
* SG: No. 221

Entry 10:
MnRuO3 | PBE+U | optimized geometry

a = 3.6881 Å, b = 3.6881 Å, c = 3.6881 Å
α = 90.00°, β = 90.00°, γ = 90.00°
Fractional positions:
Mn: 0.0000 0.0000 0.0000
Ru: 0.5000 0.5000 0.5000
O: 0.0000 0.0000 0.5000
O: 0.0000 0.5000 0.0000
O: 0.5000 0.0000 0.0000

## Properties
* magnetic moment: 3.88 μB per cell
* total energy: -0.450 Ry/atom
* SG: No. 221

Entry 11:
MnRu2O | PBE+U | optimized geometry

a = 5.3125 Å, b = 5.3125 Å, c = 5.3125 Å
α = 103.97°, β = 103.97°, γ = 121.14°
Fractional positions:
Mn: 0.0000 0.0000 0.0000
Mn: 0.7500 0.2500 0.5000
Ru: 0.2327 0.1250 0.6077
Ru: 0.3750 0.7673 0.8923
Ru: 0.5173 0.6250 0.3923
Ru: 0.8750 0.4827 0.1077
O: 0.2500 0.7500 0.5000
O: 0.5000 0.5000 0.0000

## Properties
* magnetic moment: 8.51 μB per cell
* total energy: -0.550 Ry/atom
* SG: No. 122

Entry 12:
Mn3RuO | PBE+U | optimized geometry

a = 4.8570 Å, b = 4.8570 Å, c = 4.8570 Å
α = 90.00°, β = 90.00°, γ = 90.00°
Fractional positions:
Mn: 0.0000 0.0000 0.5000
Mn: 0.0000 0.5000 0.0000
Mn: 0.5000 0.0000 0.0000
Ru: 0.0000 0.0000 0.0000
O: 0.5000 0.5000 0.5000

## Properties
* magnetic moment: 14.67 μB per cell
* total energy: -0.448 Ry/atom
* SG: No. 221